Crystalline GaSnMoO6 at its relaxed geometry. Source: the Alexandria database, functional PBE+U.

Summary:
SG = P4_2nm
Total energy = -6.561 eV per atom
Total magnetic moment = 1.00 μB per formula unit

The structure in extended XYZ format:
```
18
Lattice="4.687 0.000 0.000 0.000 4.687 0.000 0.000 0.000 9.483" Properties=species:S:1:pos:R:3 pbc="T T T"
Ga 0.000 0.000 0.000
Ga 2.344 2.344 4.742
Sn 0.000 0.000 3.164
Sn 2.344 2.344 7.906
Mo 0.000 0.000 6.325
Mo 2.344 2.344 1.584
O 0.882 0.882 7.906
O 0.930 0.930 4.794
O 0.946 0.946 1.543
O 1.398 3.289 6.285
O 1.414 3.273 0.053
O 1.462 3.226 3.164
O 3.226 1.462 3.164
O 3.273 1.414 0.053
O 3.289 1.398 6.285
O 3.741 3.741 1.543
O 3.757 3.757 4.794
O 3.805 3.805 7.906
```